(1)
BaSiTe2 PBE relaxed; symmetry = No. 166
1.0
3.0492 0.0000 8.7534
-1.5246 2.6406 8.7534
-1.5246 -2.6406 8.7534
Si Te Ba
1 2 1
Cartesian
0.0000 0.0000 0.0000 Si
0.0000 0.0000 2.6286 Te
0.0000 0.0000 23.6315 Te
0.0000 0.0000 13.1300 Ba


(2)
BaSiTe2 PBE relaxed; symmetry = No. 6
1.0
-3.4711 -3.3079 -0.6618
2.1483 -2.9289 3.3715
-2.3066 1.1598 6.3013
Ba Si Te
1 1 2
Cartesian
0.1356 -1.1510 5.0415 Ba
-1.6643 -3.2466 7.2561 Si
-0.1535 -1.5919 8.7621 Te
-2.1847 -1.7411 2.4605 Te


(3)
Ba2SiTe PBE relaxed; symmetry = No. 216; energy relative to the lowest polymorph listed for this composition = 0.549 eV/atom
1.0
-1.9235 4.9719 -2.1561
-4.9587 0.1460 -2.9083
-4.6132 2.5417 2.3080
Ba Si Te
2 1 1
Cartesian
0.0000 0.0000 0.0000 Ba
-2.8738 1.9149 -0.6891 Ba
-5.7477 3.8298 -1.3782 Si
-8.6215 5.7447 -2.0673 Te


(4)
BaSiTe PBE relaxed; symmetry = No. 216; energy relative to the lowest polymorph listed for this composition = 0.563 eV/atom
1.0
-1.3983 -3.8431 -3.6868
1.3954 -5.2594 0.8416
-3.8750 -3.7136 1.2291
Ba Si Te
1 1 1
Cartesian
-2.9084 -9.6121 -1.2121 Ba
0.0000 0.0000 0.0000 Si
-1.9389 -6.4080 -0.8081 Te


(5)
BaSiTe PBE relaxed; symmetry = No. 216; energy relative to the lowest polymorph listed for this composition = 0.287 eV/atom
1.0
5.3087 0.0000 0.0000
2.6543 4.5975 0.0000
2.6543 1.5325 4.3345
Ba Si Te
1 1 1
Cartesian
5.3087 3.0650 2.1673 Ba
7.9630 4.5975 3.2509 Si
0.0000 0.0000 0.0000 Te


(6)
BaSiTe2 PBE relaxed; symmetry = No. 123
1.0
-3.7400 2.1588 3.2968
-3.3483 -4.1379 -1.0885
1.6203 -2.1666 3.2557
Ba Si Te
1 1 2
Cartesian
-1.0599 -0.0039 3.2762 Ba
-0.8640 -3.1522 1.0836 Si
0.0000 0.0000 0.0000 Te
-3.5441 -0.9895 1.1042 Te


(7)
BaSiTe2 PBE relaxed; symmetry = No. 8
1.0
-5.2148 2.7572 3.3700
-6.0136 -1.5283 2.7665
2.4664 -1.0413 4.1292
Ba Si Te
1 1 2
Cartesian
-3.7039 -0.0605 5.3326 Ba
-2.5817 0.2288 1.7926 Si
-0.2236 -0.0651 0.7585 Te
-6.6338 0.1783 7.5148 Te


(8)
Ba5Si2Te PBE relaxed; symmetry = No. 140
1.0
7.9563 0.0001 -3.7556
-1.7729 7.7562 -3.7557
-0.0174 -0.0220 10.2679
Ba Si Te
10 4 2
Cartesian
3.0029 5.3365 2.8299 Ba
4.7249 7.4956 -3.8290 Ba
0.0000 0.0000 0.0000 Ba
3.0917 3.8781 -3.7557 Ba
1.4411 0.2387 6.5856 Ba
5.1405 1.4584 4.1172 Ba
-0.6964 4.1167 5.2983 Ba
1.0255 6.2759 -1.3606 Ba
6.8625 3.6176 -2.5417 Ba
3.1631 2.3979 -0.0733 Ba
0.1133 3.0452 8.3900 Si
4.6072 0.7890 7.6048 Si
1.5588 6.9453 -4.8482 Si
6.0527 4.6891 -5.6334 Si
4.6289 5.8062 -0.4995 Te
1.5372 1.9281 3.2561 Te


no.,total moment (μB per formula unit),E_form (uncorrected) (eV per atom)
1,0.00,-0.210
2,0.00,-0.674
3,0.00,-0.191
4,0.00,0.084
5,0.00,-0.192
6,0.00,-0.377
7,0.00,-0.731
8,0.27,-0.626